Computed, not measured: an optimized crystal structure of SnIrW2 at the PBE level of DFT.

Properties
spin magnetization	0.00	Bohr magnetons per cell
E	-8.21	eV per atom
energy relative to the elements	1484	meV/atom
crystal system	tetragonal

CIF file:
```
data_SnIrW2
_chemical_formula_sum 'Sn4 Ir4 W8'
_symmetry_space_group_name_H-M 'I -4 2 d'
_symmetry_Int_Tables_number 122
_symmetry_space_group_name_Hall 'I -4 2bw'
_cell_length_a 5.958
_cell_length_b 5.958
_cell_length_c 11.707
_cell_angle_alpha 90.00
_cell_angle_beta 90.00
_cell_angle_gamma 90.00
loop_
_atom_site_label
_atom_site_type_symbol
_atom_site_fract_x
_atom_site_fract_y
_atom_site_fract_z
Sn1 Sn 0.000 0.000 0.000
Ir1 Ir 0.000 0.000 0.500
W1 W 0.209 0.250 0.625
```